{"formula": "Na2Sn2B", "functional": "PBE-GGA", "state": "optimized geometry", "lattice_angstrom": [[-2.0622, 2.0622, 8.2478], [2.0622, -2.0622, 8.2478], [2.0622, 2.0622, -8.2478]], "species": ["Na", "Na", "Sn", "Sn", "B"], "frac_coords": [[0.0862, 0.0862, 0.0000], [0.9138, 0.9138, 0.0000], [0.2500, 0.7500, 0.5000], [0.7500, 0.2500, 0.5000], [0.5000, 0.5000, 0.0000]], "n_ef_per_ev_cell": 3.7, "total_energy_ev_per_atom": -2.61, "e_form_ev_per_atom": 0.855, "crystal_system": "tetragonal", "polymorph_energy_ev_per_fu": 0.477}